Record 1
Computed, not measured: a relaxed structure of VCdPt6 at the PBE level of DFT.

abc: 3.9761 3.9761 7.9516
angles: 90.00 90.00 90.00
Each line ends with the local moment (μB).
Atoms (fractional coordinates):
V1 0.0000 0.0000 0.5000  0.26
Cd1 0.0000 0.0000 0.0000  0.00
Pt1 0.5000 0.5000 0.0000  -0.02
Pt2 0.5000 0.5000 0.5000  -0.03
Pt3 0.5000 0.0000 0.2660  -0.02
Pt4 0.5000 0.0000 0.7340  -0.02
Pt5 0.0000 0.5000 0.2660  -0.02
Pt6 0.0000 0.5000 0.7340  -0.02

calculated density = 17.6 g/cm³
energy relative to the elements = -0.385 eV/atom
DOS(E_F) = 7.0 states/eV/f.u.
space group = No. 123
DFT total energy = -6.170 eV per atom


Record 2
Computed, not measured: a relaxed structure of LiB2Rh4 at the PBE level of DFT.

abc: 5.3381 5.3562 7.4219
angles: 116.34 116.26 76.82
Atoms (fractional coordinates):
Li1 0.1935 0.6940 0.5000
Li2 0.9439 0.9436 0.0004
B1 0.5179 0.4039 0.6648
B2 0.7391 0.8537 0.3346
B3 0.6528 0.2663 0.1629
B4 0.1033 0.4893 0.8366
Rh1 0.9983 0.1471 0.3852
Rh2 0.3679 0.6054 0.1837
Rh3 0.7620 0.6144 0.6161
Rh4 0.8557 0.1165 0.6828
Rh5 0.4336 0.1730 0.3170
Rh6 0.4221 0.1835 0.8163
Rh7 0.3959 0.7492 0.8850
Rh8 0.8639 0.5102 0.1146

calculated density = 8.6 g/cm³
energy relative to the elements = -0.156 eV/atom
DOS(E_F) = 6.4 states/eV/f.u.
space group = No. 1
DFT total energy = -6.538 eV per atom


Record 3
Computed, not measured: a relaxed structure of Sr2AcPb2 at the PBE level of DFT.

abc: 5.6535 7.1752 10.1936
angles: 90.00 106.10 90.00
Atoms (fractional coordinates):
Sr1 0.9922 0.7278 0.9844
Sr2 0.8070 0.4631 0.6140
Sr3 0.1930 0.9631 0.3860
Sr4 0.0078 0.2278 0.0156
Ac1 0.3960 0.9943 0.7920
Ac2 0.6040 0.4943 0.2080
Pb1 0.4267 0.4862 0.8535
Pb2 0.8120 0.9629 0.6240
Pb3 0.1880 0.4629 0.3760
Pb4 0.5733 0.9862 0.1465

calculated density = 6.8 g/cm³
energy relative to the elements = -0.415 eV/atom
DOS(E_F) = 5.1 states/eV/f.u.
space group = No. 36
DFT total energy = -3.393 eV per atom


Record 4
Computed, not measured: a relaxed structure of ZrSiRu at the PBE level of DFT.

abc: 5.6043 5.6040 3.0461
angles: 74.24 74.23 31.54
Atoms (fractional coordinates):
Ru1 0.9738 0.9738 0.0262
Si1 0.3597 0.3597 0.6403
Zr1 0.6666 0.6666 0.3334

calculated density = 7.6 g/cm³
DOS(E_F) = 1.9 states/eV/f.u.
space group = No. 107
energy relative to the elements, uncorrected = -0.630 eV/atom
DFT total energy = -8.379 eV per atom


Record 5
Computed, not measured: a relaxed structure of SrY2Be at the PBE level of DFT.

abc: 3.6106 3.6044 9.8473
angles: 68.57 90.00 90.00
Atoms (fractional coordinates):
Y1 0.0000 0.9612 0.0384
Y2 0.5000 0.1905 0.3096
Sr1 0.5000 0.8086 0.6915
Be1 0.0000 0.5397 0.4605

calculated density = 3.8 g/cm³
energy relative to the elements = 0.214 eV/atom
DOS(E_F) = 5.1 states/eV/f.u.
space group = No. 99
DFT total energy = -4.370 eV per atom


Record 6
Computed, not measured: a relaxed structure of CuAgTe3 at the PBE level of DFT.

abc: 5.1580 5.1580 5.1580
angles: 90.00 90.00 90.00
Atoms (fractional coordinates):
Te1 0.0000 0.5000 0.0000
Te2 0.0000 0.0000 0.5000
Te3 0.5000 0.0000 0.0000
Cu1 0.0000 0.0000 0.0000
Ag1 0.5000 0.5000 0.5000

calculated density = 6.7 g/cm³
E above lowest polymorph = 2.34 eV per formula unit
DOS(E_F) = 5.0 states/eV/f.u.
space group = No. 221
energy relative to the elements, uncorrected = 0.499 eV/atom
DFT total energy = -2.776 eV per atom


Record 7
Computed, not measured: a relaxed structure of Tb2Pm3Dy5 at the PBE level of DFT.

abc: 6.7021 11.0303 11.0303
angles: 61.37 72.31 72.31
Atoms (fractional coordinates):
Tb1 0.0281 0.7360 0.2079
Tb2 0.9719 0.2640 0.7921
Tb3 0.5281 0.2079 0.7360
Tb4 0.4719 0.7921 0.2640
Pm1 0.2500 0.0000 0.0000
Pm2 0.7500 0.0000 0.0000
Pm3 0.3277 0.4609 0.8837
Pm4 0.6723 0.5391 0.1163
Pm5 0.8277 0.8837 0.4609
Pm6 0.1723 0.1163 0.5391
Dy1 0.2500 0.5000 0.5000
Dy2 0.7500 0.5000 0.5000
Dy3 0.4310 0.8190 0.8190
Dy4 0.0690 0.1810 0.1810
Dy5 0.5690 0.1810 0.1810
Dy6 0.9310 0.8190 0.8190
Dy7 0.1691 0.4257 0.2361
Dy8 0.8309 0.5743 0.7639
Dy9 0.6691 0.2361 0.4257
Dy10 0.3309 0.7639 0.5743

calculated density = 7.8 g/cm³
E above lowest polymorph = 0.65 eV per formula unit
energy relative to the elements = 0.258 eV/atom
DOS(E_F) = 16.2 states/eV/f.u.
space group = No. 72
DFT total energy = -4.394 eV per atom


Record 8
Computed, not measured: a relaxed structure of Na2PuSc2O6 at the PBE level of DFT.

abc: 5.6852 5.6852 5.9388
angles: 99.51 99.51 120.19
Each line ends with the local moment (μB).
Atoms (fractional coordinates):
Na1 0.8255 0.1745 0.0000  0.00
Na2 0.1745 0.8255 0.0000  0.00
Pu1 0.0000 0.0000 0.5000  4.13
Sc1 0.3336 0.6664 0.5000  0.02
Sc2 0.6664 0.3336 0.5000  0.02
O1 0.7337 0.7337 0.6923  -0.04
O2 0.0558 0.4084 0.6943  -0.03
O3 0.2663 0.2663 0.3077  -0.04
O4 0.4084 0.0558 0.6943  -0.03
O5 0.9442 0.5916 0.3057  -0.03
O6 0.5916 0.9442 0.3057  -0.03

calculated density = 5.0 g/cm³
DOS(E_F) = 1.9 states/eV/f.u.
space group = No. 12
energy relative to the elements, uncorrected = -2.823 eV/atom
DFT total energy = -8.221 eV per atom